# Li2V3CrO8

A geometry-optimized Li2V3CrO8 structure (PBE+U, Alexandria via LeMat-Bulk).

abc: 5.9615 5.9615 10.1286
angles: 105.01 105.01 61.14
Fractional positions:
Li  0.0617  0.5675  0.6901
Li  0.4325  0.9383  0.8099
Li  0.5675  0.0617  0.1901
Li  0.9383  0.4325  0.3099
V  0.0000  0.0000  0.0000
V  0.0000  0.0000  0.5000
V  0.2445  0.7555  0.2500
V  0.5000  0.5000  0.0000
V  0.5000  0.5000  0.5000
V  0.7555  0.2445  0.7500
Cr  0.0000  0.5000  0.0000
Cr  0.5000  0.0000  0.5000
O  0.0878  0.1520  0.8750
O  0.1411  0.6366  0.8944
O  0.1520  0.0878  0.3750
O  0.1546  0.6317  0.3758
O  0.3596  0.4055  0.1154
O  0.3634  0.8589  0.6056
O  0.3683  0.8454  0.1242
O  0.4055  0.3596  0.6154
O  0.5945  0.6404  0.3846
O  0.6317  0.1546  0.8758
O  0.6366  0.1411  0.3944
O  0.6404  0.5945  0.8846
O  0.8454  0.3683  0.6242
O  0.8480  0.9122  0.6250
O  0.8589  0.3634  0.1056
O  0.9122  0.8480  0.1250

The calculation puts the offset from the most stable computed form at 0 kJ/mol of formula units. The calculation puts the size of the total moment at 14.00 Bohr magnetons per cell. For the calculated total energy, the calculation gives -7.312 eV per atom.